Material: Dy3ZnGa
Method: DFT, PBE
State: relaxed

a b c (Å): 10.1746 10.1746 5.0230
angles (deg): 90.00 90.00 151.40
Closest atoms and distances in Å follow each position.
Sites, in units of the cell vectors:
Dy 0.0682 0.9318 0.7500  2 Zn 3.08, 2 Ga 3.11
Dy 0.2494 0.7506 0.7500  4 Ga 3.06-3.07, 4 Zn 3.08-3.10
Dy 0.4308 0.5692 0.7500  2 Zn 3.07, 2 Ga 3.09
Dy 0.5692 0.4308 0.2500  2 Zn 3.07, 2 Ga 3.09
Dy 0.7506 0.2494 0.2500  4 Ga 3.06-3.07, 4 Zn 3.08-3.10
Dy 0.9318 0.0682 0.2500  2 Zn 3.08, 2 Ga 3.11
Zn 0.1588 0.8412 0.2500  8 Dy 3.07-3.10
Zn 0.8412 0.1588 0.7500  8 Dy 3.07-3.10
Ga 0.3392 0.6608 0.2500  8 Dy 3.06-3.11
Ga 0.6608 0.3392 0.7500  8 Dy 3.06-3.11

Results
- Density of states at the Fermi level: 8.89 states/eV per cell
- V: 24.894 A^3/atom
- Total DFT energy (no corrections): -3.99 eV per atom
- Space-group type: Cmcm, No. 63
- Offset from the most stable computed form: 0 meV/atom
- Energy of formation from the pure elements: -1.9 eV per formula unit